(1)
Compound: GdSiNO
Source: OQMD
Functional: PBE-GGA
Structure: optimized geometry

abc: 4.5911 4.5911 4.9453
angles: 90.00 90.00 90.00
Space group P4/nmm (No. 129, origin choice 2)
Inequivalent atoms, fractional coordinates:
Gd: 0.2500 0.7500 0.0000 (multiplicity 2)
Si: 0.2500 0.2500 0.5000 (multiplicity 2)
N: 0.2500 0.2500 0.1517 (multiplicity 2)
O: 0.2500 0.7500 0.5000 (multiplicity 2)

Calculated values
Its raw total energy is -7.17 eV/atom.


(2)
Compound: GdSiNO
Source: OQMD
Functional: PBE-GGA
Structure: optimized geometry

abc: 3.1917 6.0188 5.8048
angles: 90.00 90.00 90.00
Space group Pmc2_1 (No. 26)
Inequivalent atoms, fractional coordinates:
Gd: 0.0000 0.2171 0.0000 (multiplicity 2)
Si: 0.5000 0.2485 0.4631 (multiplicity 2)
N: 0.0000 0.1788 0.5962 (multiplicity 2)
O: 0.5000 0.4732 0.9390 (multiplicity 2)

Calculated values
Its raw total energy is -7.45 eV/atom.


(3)
Compound: GdSiNO
Source: OQMD
Functional: PBE-GGA
Structure: optimized geometry

abc: 3.9377 3.9377 7.3788
angles: 90.00 90.00 90.00
Space group P4/nmm (No. 129, origin choice 2)
Inequivalent atoms, fractional coordinates:
Gd: 0.2500 0.2500 0.1514 (multiplicity 2)
Si: 0.2500 0.7500 0.5000 (multiplicity 2)
N: 0.2500 0.2500 0.5018 (multiplicity 2)
O: 0.2500 0.7500 0.0000 (multiplicity 2)

Calculated values
Its raw total energy is -7.26 eV/atom.


In the order shown, the computed distance to the lowest polymorph of the same formula values come out to 349; 77; 264 meV per atom.